Below is a geometry-optimized Sm4Al3Pd structure, with properties calculated at the PBE level.

Cell: 3.6459 3.6459 14.7151 Å, 90.00 90.00 90.00°
Space group P4/mmm (No. 123)
Inequivalent atoms, fractional coordinates:
Sm  0.0000  0.0000  0.1181 x2
Sm  0.0000  0.0000  0.3729 x2
Al  0.5000  0.5000  0.2463 x2
Al  0.5000  0.5000  0.5000 x1
Pd  0.5000  0.5000  0.0000 x1

Below is a geometry-optimized Sm2Al9Pd6 structure, with properties calculated at the PBE level.

Cell: 5.4453 5.4453 12.5749 Å, 90.00 90.00 120.00°
Space group P6/mmm (No. 191)
Inequivalent atoms, fractional coordinates:
Sm  0.0000  0.0000  0.1575 x2
Al  0.0000  0.5000  0.0000 x3
Al  0.0000  0.5000  0.3389 x6
Pd  0.3333  0.6667  0.1721 x4
Pd  0.3333  0.6667  0.5000 x2

Below is a geometry-optimized SmAlPd2 structure, with properties calculated at the PBE level.

Cell: 3.1576 3.1576 7.3233 Å, 90.00 90.00 90.00°
Space group P4/mmm (No. 123)
Inequivalent atoms, fractional coordinates:
Sm  0.0000  0.0000  0.0000 x1
Al  0.0000  0.0000  0.5000 x1
Pd  0.5000  0.5000  0.3022 x2

Number 1: volume 195.6 Å³ per cell, formation enthalpy at 0 K -471 meV/atom. Number 2: volume 322.9 Å³ per cell, formation enthalpy at 0 K -651 meV/atom. Number 3: volume 73.0 Å³ per cell, formation enthalpy at 0 K -750 meV/atom.